VASP calculation (SCAN) on Ba3ScMo at its PBEsol-relaxed geometry.

extended XYZ file:
```
5
Lattice="5.8526 0.0000 0.0000 0.0000 5.8526 0.0000 0.0000 0.0000 5.8526" Properties=species:S:1:pos:R:3 pbc="T T T"
Ba 0.0000 0.0000 2.9263
Ba 0.0000 2.9263 0.0000
Ba 2.9263 0.0000 0.0000
Sc 2.9263 2.9263 2.9263
Mo 0.0000 0.0000 0.0000
```

- total magnetic moment (μB per atom) = 0.267
- DOS at the Fermi energy (states/eV/atom) = 1.072
- distance to the lowest polymorph of the same formula (meV per atom) = 0
- energy relative to the elements (eV per atom) = 1.06

=====

VASP calculation (SCAN) on BaSc3Mo at its PBEsol-relaxed geometry.

extended XYZ file:
```
5
Lattice="5.1924 0.0000 0.0000 0.0000 5.1924 0.0000 0.0000 0.0000 5.1924" Properties=species:S:1:pos:R:3 pbc="T T T"
Ba 0.0000 0.0000 0.0000
Sc 0.0000 2.5962 2.5962
Sc 2.5962 0.0000 2.5962
Sc 2.5962 2.5962 0.0000
Mo 2.5962 2.5962 2.5962
```

- total magnetic moment (μB per atom) = 0.000
- DOS at the Fermi energy (states/eV/atom) = 1.169
- energy relative to the elements (eV per atom) = 0.34

=====

VASP calculation (SCAN) on BaSc2Mo at its PBEsol-relaxed geometry.

extended XYZ file:
```
4
Lattice="3.1555 -4.3752 0.0000 3.1555 4.3752 0.0000 0.0000 0.0000 3.2673" Properties=species:S:1:pos:R:3 pbc="T T T"
Ba 0.0000 0.0000 0.0000
Sc 1.5777 2.1876 1.6337
Sc 1.5777 -2.1876 1.6337
Mo 3.1555 0.0000 0.0000
```

- total magnetic moment (μB per atom) = 0.000
- DOS at the Fermi energy (states/eV/atom) = 1.262
- distance to the lowest polymorph of the same formula (meV per atom) = 342
- energy relative to the elements (eV per atom) = 0.83

=====

VASP calculation (SCAN) on Ba2Mo15Se19 at its PBEsol-relaxed geometry.

extended XYZ file:
```
72
Lattice="4.8621 2.8072 19.1006 -4.8621 2.8072 19.1006 0.0000 -5.6143 19.1006" Properties=species:S:1:pos:R:3 pbc="T T T"
Ba 0.0000 0.0000 6.6178
Ba 0.0000 0.0000 22.0331
Ba 0.0000 0.0000 35.2687
Ba 0.0000 0.0000 50.6840
Mo -0.6086 -4.2084 17.9865
Mo -1.5128 -0.0937 12.0762
Mo -0.7699 -1.3335 14.3255
Mo -3.3402 2.6313 17.9865
Mo -1.5128 0.0937 16.5747
Mo -3.9489 -1.5771 39.3153
Mo 0.8375 -1.2632 12.0762
Mo -0.7699 1.3335 14.3255
Mo 0.6752 -1.3570 16.5747
Mo -1.5219 -0.1759 27.5368
Mo 0.6752 1.3570 12.0762
Mo -0.6086 -1.4060 29.7650
Mo 1.5398 0.0000 14.3255
Mo 0.8375 1.2632 16.5747
Mo -0.9133 1.2301 29.7650
Mo 0.9133 -1.2301 27.5368
Mo -0.8375 -1.2632 40.7271
Mo -1.5398 0.0000 42.9764
Mo 0.6086 1.4060 27.5368
Mo -0.6752 -1.3570 45.2256
Mo 1.5219 0.1759 29.7650
Mo -0.6752 1.3570 40.7272
Mo 0.7699 -1.3335 42.9764
Mo -0.8375 1.2632 45.2256
Mo 3.9489 1.5771 17.9865
Mo 1.5128 -0.0937 40.7272
Mo 3.3402 -2.6313 39.3153
Mo 0.7699 1.3335 42.9764
Mo 1.5128 0.0937 45.2256
Mo 0.6086 4.2084 39.3153
Se -3.1886 -0.3356 21.8074
Se 0.0000 0.0000 3.1373
Se -1.8715 -2.8072 23.8758
Se -1.1801 -2.8653 20.0737
Se -3.5585 -0.1220 25.9441
Se 0.0000 0.0000 10.0539
Se -1.6736 -3.1427 31.3577
Se -2.9707 -0.3525 29.6240
Se -1.1801 -2.7490 27.6778
Se -3.3668 0.2172 33.4261
Se -1.8914 2.4547 20.0737
Se -3.0715 -0.4107 37.2281
Se -1.3037 -2.9292 35.4944
Se 0.0000 0.0000 18.5970
Se 1.8849 -2.5936 21.8074
Se -1.7906 2.3965 27.6778
Se -1.4953 3.0244 23.8758
Se 0.0000 0.0000 25.5136
Se 1.8849 -3.0207 25.9441
Se -1.8849 3.0207 31.3577
Se 0.0000 0.0000 31.7882
Se 1.4953 -3.0244 33.4261
Se 1.7906 -2.3965 29.6240
Se -1.8849 2.5936 35.4944
Se 0.0000 0.0000 38.7049
Se 1.3037 2.9292 21.8074
Se 3.0715 0.4107 20.0737
Se 1.8914 -2.4547 37.2281
Se 3.3668 -0.2172 23.8758
Se 1.1801 2.7490 29.6240
Se 2.9707 0.3525 27.6778
Se 1.6736 3.1427 25.9441
Se 0.0000 0.0000 47.2479
Se 3.5585 0.1220 31.3577
Se 1.1801 2.8653 37.2281
Se 1.8715 2.8072 33.4261
Se 0.0000 0.0000 54.1646
Se 3.1886 0.3356 35.4945
```

- raw formation energy (eV per atom) = -0.776
- total magnetic moment (μB per atom) = 0.000
- DOS at the Fermi energy (states/eV/atom) = 0.498

=====

VASP calculation (SCAN) on Ba2MoSe at its PBEsol-relaxed geometry.

extended XYZ file:
```
4
Lattice="4.4212 0.0000 0.0000 0.0000 2.4391 5.6882 0.0000 -2.4391 5.6882" Properties=species:S:1:pos:R:3 pbc="T T T"
Ba 0.0000 0.0000 0.0000
Ba 2.2106 0.0000 3.2840
Mo 0.0000 0.0000 7.8676
Se 2.2106 0.0000 6.7301
```

- raw formation energy (eV per atom) = -0.106
- total magnetic moment (μB per atom) = 0.444
- DOS at the Fermi energy (states/eV/atom) = 0.794

=====

VASP calculation (SCAN) on BaMoSe at its PBEsol-relaxed geometry.

extended XYZ file:
```
3
Lattice="-1.6916 1.6916 6.0296 1.6916 -1.6916 6.0296 1.6916 1.6916 -6.0296" Properties=species:S:1:pos:R:3 pbc="T T T"
Ba 0.0000 0.0000 0.0000
Mo 0.0000 0.0000 3.5635
Se 0.0000 0.0000 8.6118
```

- raw formation energy (eV per atom) = -0.051
- total magnetic moment (μB per atom) = 0.000
- DOS at the Fermi energy (states/eV/atom) = 0.702

=====

VASP calculation (SCAN) on Ba2MoSe at its PBEsol-relaxed geometry.

extended XYZ file:
```
4
Lattice="2.2244 1.2843 8.5085 -2.2244 1.2843 8.5085 0.0000 -2.5686 8.5085" Properties=species:S:1:pos:R:3 pbc="T T T"
Ba 0.0000 0.0000 6.1962
Ba 0.0000 0.0000 19.3292
Mo 0.0000 0.0000 0.0000
Se 0.0000 0.0000 12.7627
```

- raw formation energy (eV per atom) = -0.129
- total magnetic moment (μB per atom) = 1.021
- DOS at the Fermi energy (states/eV/atom) = 0.496

=====

VASP calculation (SCAN) on Ba2MoSe at its PBEsol-relaxed geometry.

extended XYZ file:
```
4
Lattice="5.6226 0.0000 0.0000 0.0000 5.6226 0.0000 0.0000 0.0000 3.8860" Properties=species:S:1:pos:R:3 pbc="T T T"
Ba 0.0000 2.8113 0.0000
Ba 2.8113 0.0000 0.0000
Mo 0.0000 0.0000 1.9430
Se 2.8113 2.8113 1.9430
```

- raw formation energy (eV per atom) = -0.078
- total magnetic moment (μB per atom) = 1.013
- DOS at the Fermi energy (states/eV/atom) = 0.572

=====

VASP calculation (SCAN) on BaSiMo at its PBEsol-relaxed geometry.

extended XYZ file:
```
3
Lattice="3.6044 0.0000 0.0000 -1.8022 3.1215 0.0000 0.0000 0.0000 6.2719" Properties=species:S:1:pos:R:3 pbc="T T T"
Ba 0.0000 0.0000 0.0000
Si 1.8022 1.0405 2.4309
Mo 0.0000 2.0810 3.6746
```

- raw formation energy (eV per atom) = 0.586
- total magnetic moment (μB per atom) = 0.172
- DOS at the Fermi energy (states/eV/atom) = 0.620

=====

VASP calculation (SCAN) on BaSi4Mo at its PBEsol-relaxed geometry.

extended XYZ file:
```
6
Lattice="0.0000 3.7601 3.7601 3.7601 0.0000 3.7601 3.7601 3.7601 0.0000" Properties=species:S:1:pos:R:3 pbc="T T T"
Ba 0.0000 0.0000 0.0000
Si 4.6563 2.8639 2.8639
Si 2.8639 4.6563 2.8639
Si 2.8639 2.8639 4.6563
Si 4.6563 4.6563 4.6563
Mo 1.8800 1.8800 1.8800
```

- raw formation energy (eV per atom) = 0.734
- total magnetic moment (μB per atom) = 0.525
- DOS at the Fermi energy (states/eV/atom) = 0.586

=====

VASP calculation (SCAN) on BaSr2Mo at its PBEsol-relaxed geometry.

extended XYZ file:
```
4
Lattice="3.8627 0.0000 0.0000 0.0000 3.8627 0.0000 0.0000 0.0000 10.2158" Properties=species:S:1:pos:R:3 pbc="T T T"
Ba 0.0000 0.0000 0.0000
Sr 0.0000 0.0000 3.8168
Sr 1.9314 1.9314 6.9501
Mo 1.9314 1.9314 1.9655
```

- total magnetic moment (μB per atom) = 0.629
- DOS at the Fermi energy (states/eV/atom) = 0.809
- energy relative to the elements (eV per atom) = 0.75

=====

VASP calculation (SCAN) on Ba2SrMo at its PBEsol-relaxed geometry.

extended XYZ file:
```
4
Lattice="3.8778 0.0000 0.0000 0.0000 3.8778 0.0000 0.0000 0.0000 10.4475" Properties=species:S:1:pos:R:3 pbc="T T T"
Ba 0.0000 0.0000 1.9639
Ba 0.0000 0.0000 8.4836
Sr 1.9389 1.9389 5.2238
Mo 1.9389 1.9389 0.0000
```

- total magnetic moment (μB per atom) = 0.615
- DOS at the Fermi energy (states/eV/atom) = 0.656
- distance to the lowest polymorph of the same formula (meV per atom) = 0
- energy relative to the elements (eV per atom) = 0.77